Here is a relaxed structure of Co5Br4 from Alexandria via LeMat-Bulk. Energies are from PBE.

Lattice parameters (Å, degrees): 7.2058 7.2058 6.7935 90.00 90.00 120.00
Last column: nearest neighbours and their distance in Å.
Fractional coordinates of all 18 atoms:
1 Co 0.7053 0.7053 0.7500  1 Br 2.25
2 Co 0.3333 0.6667 0.0000  6 Br 2.79, 6 Co 3.07
3 Co 0.3333 0.6667 0.5000  6 Br 2.79, 6 Co 3.07
4 Co 0.0000 0.7053 0.2500  1 Br 2.25
5 Br 0.0000 0.6074 0.7500  1 Co 2.25
6 Br 0.6074 0.0000 0.7500  1 Co 2.25
7 Co 0.6667 0.3333 0.5000  6 Br 2.79, 6 Co 3.07
8 Co 0.0000 0.2947 0.7500  1 Br 2.25
9 Br 0.3926 0.0000 0.2500  1 Co 2.25
10 Br 0.0000 0.0000 0.0000  6 Co 2.72
11 Co 0.7053 0.0000 0.2500  1 Br 2.25
12 Br 0.0000 0.0000 0.5000  6 Co 2.72
13 Br 0.0000 0.3926 0.2500  1 Co 2.25
14 Br 0.6074 0.6074 0.2500  1 Co 2.25
15 Co 0.2947 0.2947 0.2500  1 Br 2.25
16 Co 0.6667 0.3333 0.0000  6 Br 2.79, 6 Co 3.07
17 Br 0.3926 0.3926 0.7500  1 Co 2.25
18 Co 0.2947 0.0000 0.7500  1 Br 2.25

- E_tot (eV per cell) = -71.0
- magnetic moment (Bohr magnetons per cell) = 18.0
- raw formation energy (eV per atom) = 0.746

***

Here is a relaxed structure of PmPu2VN4 from Alexandria via LeMat-Bulk. Energies are from PBE.

Lattice parameters (Å, degrees): 3.3854 6.0723 11.8677 90.00 90.00 106.19
Last column: nearest neighbours and their distance in Å.
Fractional coordinates of all 16 atoms:
1 V 0.8317 0.6634 0.7500  4 N 1.85-2.04
2 V 0.1683 0.3366 0.2500  4 N 1.85-2.04
3 Pm 0.9065 0.8129 0.2500  6 N 2.55-2.78
4 Pu 0.3684 0.7369 0.9566  6 N 2.34-2.55
5 N 0.7345 0.4689 0.6269  1 V 1.85
6 N 0.2655 0.5311 0.1269  1 V 1.85
7 N 0.5705 0.1409 0.2500  2 V 2.04
8 Pu 0.3684 0.7369 0.5434  6 N 2.34-2.55
9 N 0.4295 0.8591 0.7500  2 V 2.04
10 N 0.0000 0.0000 0.0000  4 Pu 2.34
11 N 0.0000 0.0000 0.5000  4 Pu 2.34
12 N 0.7345 0.4689 0.8731  1 V 1.85
13 N 0.2655 0.5311 0.3731  1 V 1.85
14 Pu 0.6316 0.2631 0.0434  6 N 2.34-2.55
15 Pu 0.6316 0.2631 0.4566  6 N 2.34-2.55
16 Pm 0.0935 0.1871 0.7500  6 N 2.55-2.78

- E_tot (eV per cell) = -170.1
- magnetic moment (Bohr magnetons per cell) = 20.8
- raw formation energy (eV per atom) = -1.153

***

Here is a relaxed structure of Gd3Se from Alexandria via LeMat-Bulk. Energies are from PBE.

Lattice parameters (Å, degrees): 3.7446 5.0068 5.7987 90.00 90.00 90.00
Last column: nearest neighbours and their distance in Å.
Fractional coordinates of all 4 atoms:
1 Gd 0.0000 0.5000 0.4934  2 Se 3.12, 6 Gd 3.22
2 Gd 0.5000 0.5000 0.0427  4 Se 3.21, 4 Gd 3.22-3.48
3 Se 0.0000 0.0000 0.1713  8 Gd 3.12-3.23
4 Gd 0.5000 0.0000 0.6259  6 Gd 3.22-3.48, 2 Se 3.23

- E_tot (eV per cell) = -47.8
- magnetic moment (Bohr magnetons per cell) = 7.6
- raw formation energy (eV per atom) = -0.526

***

Here is a relaxed structure of BaAgOs2 from Alexandria via LeMat-Bulk. Energies are from PBE.

Lattice parameters (Å, degrees): 4.3491 4.3491 6.5332 70.58 70.58 60.00
Last column: nearest neighbours and their distance in Å.
Fractional coordinates of all 4 atoms:
1 Ag 0.4584 0.4584 0.6244  6 Os 2.75-2.80
2 Ba 0.2551 0.2551 0.2355  4 Ag 3.43-3.69, 7 Os 3.51-3.59
3 Os 0.0567 0.0567 0.8297  3 Os 2.51, 3 Ag 2.80
4 Os 0.7298 0.7299 0.8103  3 Os 2.51, 3 Ag 2.75

- formation energy (eV/atom) = 0.354
- E_tot (eV per cell) = -25.8
- offset from the most stable computed form (eV per formula unit) = 0.000
- magnetic moment (Bohr magnetons per cell) = 0.0